1.
First-principles (PBE) data for a relaxed structure of Ti2VCo6, as listed in Alexandria.

a b c (Å): 4.9422 4.9422 5.2876
angles (deg): 90.26 90.26 59.91
Positions (direct):
Ti: 0.1670 0.1670 0.1503
Ti: 0.8330 0.8330 0.8497
V: 0.5000 0.5000 0.0000
Co: 0.1463 0.6775 0.3251
Co: 0.3224 0.3224 0.6730
Co: 0.3225 0.8537 0.6749
Co: 0.6775 0.1463 0.3251
Co: 0.6776 0.6776 0.3270
Co: 0.8537 0.3225 0.6749

total DFT energy (no corrections)	-7.638	eV/atom
spin magnetization	3.578	μB/cell


2.
First-principles (PBE) data for a relaxed structure of SrPmZn, as listed in Alexandria.

a b c (Å): 3.7796 3.7796 13.5753
angles (deg): 90.00 90.00 90.00
Positions (direct):
Sr: 0.0000 0.0000 0.0000
Sr: 0.5000 0.5000 0.5000
Pm: 0.0000 0.0000 0.2709
Pm: 0.5000 0.5000 0.7709
Zn: 0.0000 0.0000 0.6560
Zn: 0.5000 0.5000 0.1560

total DFT energy (no corrections)	-2.695	eV/atom
polymorph energy (0 for the lowest one)	0.0000	eV/atom
spin magnetization	0.207	μB/cell


3.
First-principles (PBE) data for a relaxed structure of DyTlNiRh, as listed in Alexandria.

a b c (Å): 6.6546 6.6546 6.6546
angles (deg): 90.00 90.00 90.00
Positions (direct):
Dy: 0.0000 0.0000 0.0000
Dy: 0.0000 0.5000 0.5000
Dy: 0.5000 0.0000 0.5000
Dy: 0.5000 0.5000 0.0000
Tl: 0.0000 0.0000 0.5000
Tl: 0.0000 0.5000 0.0000
Tl: 0.5000 0.0000 0.0000
Tl: 0.5000 0.5000 0.5000
Ni: 0.2500 0.2500 0.7500
Ni: 0.2500 0.7500 0.2500
Ni: 0.7500 0.2500 0.2500
Ni: 0.7500 0.7500 0.7500
Rh: 0.2500 0.2500 0.2500
Rh: 0.2500 0.7500 0.7500
Rh: 0.7500 0.2500 0.7500
Rh: 0.7500 0.7500 0.2500

total DFT energy (no corrections)	-5.362	eV/atom
spin magnetization	0.001	μB/cell


4.
First-principles (PBE) data for a relaxed structure of Ac7LaCo3, as listed in Alexandria.

a b c (Å): 8.2462 8.2462 6.7966
angles (deg): 90.00 90.00 120.00
Positions (direct):
Ac: 0.0000 0.0000 0.0000
Ac: 0.0036 0.5018 0.9845
Ac: 0.3310 0.1655 0.4670
Ac: 0.4982 0.5018 0.9845
Ac: 0.4982 0.9964 0.9845
Ac: 0.8345 0.1655 0.4670
Ac: 0.8345 0.6690 0.4670
La: 0.3333 0.6667 0.4398
Co: 0.1690 0.3381 0.2287
Co: 0.1690 0.8310 0.2287
Co: 0.6619 0.8310 0.2287

total DFT energy (no corrections)	-5.040	eV/atom
spin magnetization	0.000	μB/cell